RbScBi (PBE, relaxed); N(E_F) = 2.291 states/eV/f.u.; ΔH_f (0 K) = -0.7 eV per formula unit; M_tot = 0.275 μB/atom; space-group type = I4mm, No. 107; calculated volume = 40.266 Å³ per atom
1.0
-2.222 -0.346 3.493
-2.832 -2.264 -2.027
6.020 -4.534 0.910
Sc Bi Rb
1 1 1
Direct
0.269 0.269 0.538
0.727 0.727 0.453
0.004 0.004 0.009

Rb2Sc2Bi2Se (PBE, relaxed); N(E_F) = 2.012 states/eV/f.u.; formation energy from raw total energies = -5.93 eV per formula unit; M_tot = 0.000 μB/atom; space-group type = I4/mmm, No. 139; calculated volume = 35.616 Å³ per atom
1.0
-4.501 2.483 0.004
-1.215 -2.210 4.479
6.832 7.061 2.387
Sc Bi Se Rb
2 2 1 2
Direct
0.500 0.000 0.000
0.000 0.500 0.000
0.396 0.396 0.791
0.604 0.604 0.209
0.000 0.000 0.000
0.819 0.819 0.638
0.181 0.181 0.362